# Zr2AlNi4 PBE relaxed
# E_form: 0.16 eV/atom
# Uncorrected energy: -6.12 eV per atom
# Total magnetic moment: 0.00 μB per formula unit
data_Zr2AlNi4
_chemical_formula_sum 'Zr2 Al1 Ni4'
_space_group_name_H-M_alt 'P 1'
_space_group_IT_number 1
_space_group_name_Hall 'P 1'
_cell_length_a 2.901
_cell_length_b 2.901
_cell_length_c 14.960
_cell_angle_alpha 90.00
_cell_angle_beta 90.00
_cell_angle_gamma 120.00
loop_
_atom_site_label
_atom_site_type_symbol
_atom_site_fract_x
_atom_site_fract_y
_atom_site_fract_z
Zr1 Zr 0.000 0.000 0.000
Zr2 Zr 0.333 0.667 0.688
Al1 Al 0.667 0.333 0.303
Ni1 Ni 0.333 0.667 0.420
Ni2 Ni 0.333 0.667 0.858
Ni3 Ni 0.667 0.333 0.143
Ni4 Ni 0.667 0.333 0.544